# PBE Sr2Mg4AlGa3, relaxed
# * final energy: -2.482 eV/atom
# * formation enthalpy at 0 K: -2.254 eV per formula unit
# * D(E_F): 0.478 states/eV per atom
data_Sr2Mg4AlGa3
_cell_length_a 4.599
_cell_length_b 4.599
_cell_length_c 11.807
_cell_angle_alpha 90.00
_cell_angle_beta 90.00
_cell_angle_gamma 90.00
_space_group_name_H-M_alt 'P -4 m 2'
_space_group_IT_number 115
loop_
_space_group_symop_operation_xyz
'x,y,z'
'y,-x,-z'
'-x,-y,z'
'-y,x,-z'
'-x,y,z'
'-y,-x,-z'
'x,-y,z'
'y,x,-z'
loop_
_atom_site_label
_atom_site_fract_x
_atom_site_fract_y
_atom_site_fract_z
_atom_site_occupancy
Sr1 0.000 0.500 0.250 1
Mg1 0.000 0.000 0.000 1
Mg2 0.000 0.500 0.636 1
Mg3 0.500 0.500 0.000 1
Al1 0.000 0.000 0.500 1
Ga1 0.000 0.500 0.864 1
Ga2 0.500 0.500 0.500 1